The following is a DFT calculation (GGA-PBE) of a relaxed structure of NaW3Br.

```
data_NaW3Br
_chemical_formula_sum 'Na1 W3 Br1'
_cell_length_a 4.6692
_cell_length_b 4.6692
_cell_length_c 4.6692
_cell_angle_alpha 90.00
_cell_angle_beta 90.00
_cell_angle_gamma 90.00
_symmetry_space_group_name_H-M 'P 1'
_symmetry_Int_Tables_number 1
loop_
_symmetry_equiv_pos_as_xyz
'x,y,z'
loop_
_atom_site_label
_atom_site_type_symbol
_atom_site_fract_x
_atom_site_fract_y
_atom_site_fract_z
Na1 Na 0.0000 0.0000 0.0000
W1 W 0.0000 0.0000 0.5000
W2 W 0.0000 0.5000 0.0000
W3 W 0.5000 0.0000 0.0000
Br1 Br 0.5000 0.5000 0.5000
```

Results
Offset from the most stable computed form ... 1.245 eV per atom
Symmetry ... No. 221

The following is a DFT calculation (GGA-PBE) of a relaxed structure of Na3WBr8.

```
data_Na3WBr8
_chemical_formula_sum 'Na3 W1 Br8'
_cell_length_a 7.2825
_cell_length_b 7.2825
_cell_length_c 8.6373
_cell_angle_alpha 90.00
_cell_angle_beta 90.00
_cell_angle_gamma 108.06
_symmetry_space_group_name_H-M 'P 1'
_symmetry_Int_Tables_number 1
loop_
_symmetry_equiv_pos_as_xyz
'x,y,z'
loop_
_atom_site_label
_atom_site_type_symbol
_atom_site_fract_x
_atom_site_fract_y
_atom_site_fract_z
Na1 Na 0.0000 0.0000 0.0000
Na2 Na 0.0000 0.5000 0.7916
Na3 Na 0.5000 0.0000 0.2084
W1 W 0.0000 0.0000 0.5000
Br1 Br 0.2111 0.2112 0.2953
Br2 Br 0.2112 0.2111 0.7047
Br3 Br 0.2125 0.7875 0.5000
Br4 Br 0.2382 0.7618 0.0000
Br5 Br 0.7618 0.2382 0.0000
Br6 Br 0.7875 0.2125 0.5000
Br7 Br 0.7889 0.7888 0.2953
Br8 Br 0.7888 0.7889 0.7047
```

Results
Symmetry ... No. 21

The following is a DFT calculation (GGA-PBE) of a relaxed structure of Na3WBr.

```
data_Na3WBr
_chemical_formula_sum 'Na3 W1 Br1'
_cell_length_a 5.5415
_cell_length_b 5.5415
_cell_length_c 5.5415
_cell_angle_alpha 90.00
_cell_angle_beta 90.00
_cell_angle_gamma 90.00
_symmetry_space_group_name_H-M 'P 1'
_symmetry_Int_Tables_number 1
loop_
_symmetry_equiv_pos_as_xyz
'x,y,z'
loop_
_atom_site_label
_atom_site_type_symbol
_atom_site_fract_x
_atom_site_fract_y
_atom_site_fract_z
Na1 Na 0.0000 0.0000 0.5000
Na2 Na 0.0000 0.5000 0.0000
Na3 Na 0.5000 0.0000 0.0000
W1 W 0.5000 0.5000 0.5000
Br1 Br 0.0000 0.0000 0.0000
```

Results
Offset from the most stable computed form ... 0.000 eV per atom
Symmetry ... No. 221

The following is a DFT calculation (GGA-PBE) of a relaxed structure of NaW2Br.

```
data_NaW2Br
_chemical_formula_sum 'Na4 W8 Br4'
_cell_length_a 3.6963
_cell_length_b 3.6963
_cell_length_c 24.7990
_cell_angle_alpha 90.00
_cell_angle_beta 90.00
_cell_angle_gamma 90.00
_symmetry_space_group_name_H-M 'P 1'
_symmetry_Int_Tables_number 1
loop_
_symmetry_equiv_pos_as_xyz
'x,y,z'
loop_
_atom_site_label
_atom_site_type_symbol
_atom_site_fract_x
_atom_site_fract_y
_atom_site_fract_z
Na1 Na 0.0000 0.0000 0.0000
Na2 Na 0.0000 0.5000 0.2500
Na3 Na 0.5000 0.0000 0.7500
Na4 Na 0.5000 0.5000 0.5000
W1 W 0.2350 0.7500 0.1250
W2 W 0.2500 0.2350 0.8750
W3 W 0.2500 0.2650 0.3750
W4 W 0.2650 0.7500 0.6250
W5 W 0.7350 0.2500 0.6250
W6 W 0.7500 0.7350 0.3750
W7 W 0.7500 0.7650 0.8750
W8 W 0.7650 0.2500 0.1250
Br1 Br 0.0000 0.0000 0.5000
Br2 Br 0.0000 0.5000 0.7500
Br3 Br 0.5000 0.0000 0.2500
Br4 Br 0.5000 0.5000 0.0000
```

Results
Offset from the most stable computed form ... 0.000 eV per atom
Symmetry ... No. 122

The following is a DFT calculation (GGA-PBE) of a relaxed structure of NaWBr2.

```
data_NaWBr2
_chemical_formula_sum 'Na4 W4 Br8'
_cell_length_a 5.6512
_cell_length_b 5.6512
_cell_length_c 14.2095
_cell_angle_alpha 90.00
_cell_angle_beta 90.00
_cell_angle_gamma 90.00
_symmetry_space_group_name_H-M 'P 1'
_symmetry_Int_Tables_number 1
loop_
_symmetry_equiv_pos_as_xyz
'x,y,z'
loop_
_atom_site_label
_atom_site_type_symbol
_atom_site_fract_x
_atom_site_fract_y
_atom_site_fract_z
Na1 Na 0.0000 0.0000 0.0000
Na2 Na 0.0000 0.5000 0.2500
Na3 Na 0.5000 0.0000 0.7500
Na4 Na 0.5000 0.5000 0.5000
W1 W 0.0000 0.0000 0.5000
W2 W 0.0000 0.5000 0.7500
W3 W 0.5000 0.0000 0.2500
W4 W 0.5000 0.5000 0.0000
Br1 Br 0.1886 0.2500 0.6250
Br2 Br 0.2500 0.6886 0.8750
Br3 Br 0.2500 0.8114 0.3750
Br4 Br 0.3114 0.2500 0.1250
Br5 Br 0.6886 0.7500 0.1250
Br6 Br 0.7500 0.1886 0.3750
Br7 Br 0.7500 0.3114 0.8750
Br8 Br 0.8114 0.7500 0.6250
```

Results
Offset from the most stable computed form ... 0.346 eV per atom
Symmetry ... No. 122

The following is a DFT calculation (GGA-PBE) of a relaxed structure of NaWBr5.

```
data_NaWBr5
_chemical_formula_sum 'Na2 W2 Br10'
_cell_length_a 7.2521
_cell_length_b 7.2521
_cell_length_c 9.8523
_cell_angle_alpha 107.85
_cell_angle_beta 107.85
_cell_angle_gamma 69.95
_symmetry_space_group_name_H-M 'P 1'
_symmetry_Int_Tables_number 1
loop_
_symmetry_equiv_pos_as_xyz
'x,y,z'
loop_
_atom_site_label
_atom_site_type_symbol
_atom_site_fract_x
_atom_site_fract_y
_atom_site_fract_z
Na1 Na 0.0254 0.9746 0.7500
Na2 Na 0.9746 0.0254 0.2500
W1 W 0.5000 0.5000 0.0000
W2 W 0.5000 0.5000 0.5000
Br1 Br 0.1414 0.7009 0.0212
Br2 Br 0.1899 0.3838 0.3739
Br3 Br 0.2991 0.8586 0.4788
Br4 Br 0.3838 0.1899 0.8739
Br5 Br 0.3922 0.6078 0.7500
Br6 Br 0.6078 0.3922 0.2500
Br7 Br 0.6162 0.8101 0.1261
Br8 Br 0.7009 0.1414 0.5212
Br9 Br 0.8101 0.6162 0.6261
Br10 Br 0.8586 0.2991 0.9788
```

Results
Symmetry ... No. 15

The following is a DFT calculation (GGA-PBE) of a relaxed structure of Na3WBr.

```
data_Na3WBr
_chemical_formula_sum 'Na3 W1 Br1'
_cell_length_a 6.0554
_cell_length_b 6.0554
_cell_length_c 6.0554
_cell_angle_alpha 90.00
_cell_angle_beta 90.00
_cell_angle_gamma 90.00
_symmetry_space_group_name_H-M 'P 1'
_symmetry_Int_Tables_number 1
loop_
_symmetry_equiv_pos_as_xyz
'x,y,z'
loop_
_atom_site_label
_atom_site_type_symbol
_atom_site_fract_x
_atom_site_fract_y
_atom_site_fract_z
Na1 Na 0.0000 0.0000 0.5000
Na2 Na 0.0000 0.5000 0.0000
Na3 Na 0.5000 0.0000 0.0000
W1 W 0.0000 0.0000 0.0000
Br1 Br 0.5000 0.5000 0.5000
```

Results
Offset from the most stable computed form ... 0.292 eV per atom
Symmetry ... No. 221

The following is a DFT calculation (GGA-PBE) of a relaxed structure of NaWBr2.

```
data_NaWBr2
_chemical_formula_sum 'Na3 W3 Br6'
_cell_length_a 3.3295
_cell_length_b 3.3295
_cell_length_c 27.1303
_cell_angle_alpha 90.00
_cell_angle_beta 90.00
_cell_angle_gamma 120.00
_symmetry_space_group_name_H-M 'P 1'
_symmetry_Int_Tables_number 1
loop_
_symmetry_equiv_pos_as_xyz
'x,y,z'
loop_
_atom_site_label
_atom_site_type_symbol
_atom_site_fract_x
_atom_site_fract_y
_atom_site_fract_z
Na1 Na 0.0000 0.0000 0.0000
Na2 Na 0.3333 0.6667 0.6667
Na3 Na 0.6667 0.3333 0.3333
W1 W 0.0000 0.0000 0.5000
W2 W 0.3333 0.6667 0.1667
W3 W 0.6667 0.3333 0.8333
Br1 Br 0.0000 0.0000 0.4085
Br2 Br 0.0000 0.0000 0.5915
Br3 Br 0.3333 0.6667 0.0751
Br4 Br 0.3333 0.6667 0.2582
Br5 Br 0.6667 0.3333 0.7418
Br6 Br 0.6667 0.3333 0.9249
```

Results
Offset from the most stable computed form ... 0.000 eV per atom
Symmetry ... No. 166

The following is a DFT calculation (GGA-PBE) of a relaxed structure of NaW2Br8.

```
data_NaW2Br8
_chemical_formula_sum 'Na1 W2 Br8'
_cell_length_a 8.4678
_cell_length_b 8.4678
_cell_length_c 7.1075
_cell_angle_alpha 100.36
_cell_angle_beta 100.36
_cell_angle_gamma 68.96
_symmetry_space_group_name_H-M 'P 1'
_symmetry_Int_Tables_number 1
loop_
_symmetry_equiv_pos_as_xyz
'x,y,z'
loop_
_atom_site_label
_atom_site_type_symbol
_atom_site_fract_x
_atom_site_fract_y
_atom_site_fract_z
Na1 Na 0.0000 0.0000 0.0000
W1 W 0.1940 0.1940 0.6596
W2 W 0.8060 0.8060 0.3404
Br1 Br 0.0849 0.7056 0.2229
Br2 Br 0.1929 0.1929 0.3158
Br3 Br 0.2944 0.9151 0.7771
Br4 Br 0.3697 0.3697 0.7783
Br5 Br 0.6303 0.6303 0.2217
Br6 Br 0.7056 0.0849 0.2229
Br7 Br 0.8071 0.8071 0.6842
Br8 Br 0.9151 0.2944 0.7771
```

Results
Symmetry ... No. 12

The following is a DFT calculation (GGA-PBE) of a relaxed structure of Na2Y2Br7.

```
data_Na2Y2Br7
_chemical_formula_sum 'Na2 Y2 Br7'
_cell_length_a 7.8203
_cell_length_b 7.8203
_cell_length_c 7.6391
_cell_angle_alpha 93.72
_cell_angle_beta 93.72
_cell_angle_gamma 112.91
_symmetry_space_group_name_H-M 'P 1'
_symmetry_Int_Tables_number 1
loop_
_symmetry_equiv_pos_as_xyz
'x,y,z'
loop_
_atom_site_label
_atom_site_type_symbol
_atom_site_fract_x
_atom_site_fract_y
_atom_site_fract_z
Na1 Na 0.2030 0.7970 0.0000
Na2 Na 0.7970 0.2030 0.0000
Y1 Y 0.1979 0.1979 0.6051
Y2 Y 0.8021 0.8021 0.3949
Br1 Br 0.0634 0.4366 0.7685
Br2 Br 0.0938 0.0938 0.2402
Br3 Br 0.4366 0.0634 0.7685
Br4 Br 0.5000 0.5000 0.5000
Br5 Br 0.5634 0.9366 0.2315
Br6 Br 0.9062 0.9062 0.7598
Br7 Br 0.9366 0.5634 0.2315
```

Results
Offset from the most stable computed form ... 0.000 eV per atom
Symmetry ... No. 12

Number 1: formation energy (no corrections) 335.0 kJ/mol of atoms, total magnetization 1.1 μB per cell. Number 2: formation energy (no corrections) -89.8 kJ/mol of atoms, total magnetization 1.0 μB per cell. Number 3: formation energy (no corrections) 73.2 kJ/mol of atoms, total magnetization 5.7 μB per cell. Number 4: formation energy (no corrections) 92.2 kJ/mol of atoms, total magnetization 0.0 μB per cell. Number 5: formation energy (no corrections) 51.5 kJ/mol of atoms, total magnetization 0.0 μB per cell. Number 6: formation energy (no corrections) -61.7 kJ/mol of atoms, total magnetization 4.0 μB per cell. Number 7: formation energy (no corrections) 101.3 kJ/mol of atoms, total magnetization 6.0 μB per cell. Number 8: formation energy (no corrections) 18.1 kJ/mol of atoms, total magnetization 0.0 μB per cell. Number 9: formation energy (no corrections) -35.1 kJ/mol of atoms, total magnetization 5.0 μB per cell. Number 10: formation energy (no corrections) -154.6 kJ/mol of atoms, total magnetization 1.0 μB per cell.